# CdNiAsN2 | the Alexandria database | PBE-GGA | optimized geometry
# - Crystal system: tetragonal
# - Total DFT energy (no corrections): -4.30 eV per atom
# - Raw formation energy: 1.300 eV/atom
data_CdNiAsN2
_symmetry_space_group_name_H-M 'P 4/m m m'
_symmetry_Int_Tables_number 123
_symmetry_space_group_name_Hall '-P 4 2'
_cell_length_a 3.890
_cell_length_b 3.890
_cell_length_c 4.550
_cell_angle_alpha 90.00
_cell_angle_beta 90.00
_cell_angle_gamma 90.00
loop_
_atom_site_label
_atom_site_fract_x
_atom_site_fract_y
_atom_site_fract_z
_atom_site_occupancy
Cd1 0.000 0.000 0.000 1
Ni1 0.500 0.500 0.000 1
As1 0.500 0.500 0.500 1
N1 0.000 0.500 0.500 1